{"formula": "BeZnAu", "functional": "GGA-PBE", "state": "optimized geometry", "final_energy_ev_per_cell": -8.0, "delta_e_f_ev_per_atom": 0.0842, "lattice": [[-2.896, 0.585, 2.881], [-3.281, -2.497, 0.164], [-0.394, -2.689, 3.105]], "species": ["Au", "Be", "Zn"], "frac_coords": [[0.750, 0.750, 0.750], [0.000, 0.000, 0.000], [0.500, 0.500, 0.500]]}

{"formula": "Ba4ZnCd", "functional": "GGA-PBE", "state": "optimized geometry", "final_energy_ev_per_cell": -7.2, "delta_e_f_ev_per_atom": 0.4438, "lattice": [[0.000, 5.244, 5.244], [5.244, 0.000, 5.244], [5.244, 5.244, 0.000]], "species": ["Ba", "Ba", "Ba", "Ba", "Zn", "Cd"], "frac_coords": [[0.875, 0.375, 0.375], [0.375, 0.375, 0.875], [0.375, 0.875, 0.375], [0.375, 0.375, 0.375], [0.000, 0.000, 0.000], [0.750, 0.750, 0.750]]}

{"formula": "Nd4InRu", "functional": "GGA-PBE", "state": "optimized geometry", "final_energy_ev_per_cell": -132.2, "delta_e_f_ev_per_atom": -0.3281, "lattice": [[-9.550, -2.575, -0.947], [-2.576, -9.596, -0.055], [-4.891, -3.875, 7.732]], "species": ["Nd", "Nd", "Nd", "Nd", "Nd", "Nd", "Nd", "Nd", "Nd", "Nd", "Nd", "Nd", "Nd", "Nd", "Nd", "Nd", "Ru", "Ru", "Ru", "Ru", "In", "In", "In", "In"], "frac_coords": [[0.557, 0.943, 0.943], [0.190, 0.810, 0.810], [0.557, 0.557, 0.943], [0.403, 0.791, 0.403], [0.190, 0.810, 0.190], [0.557, 0.943, 0.557], [0.190, 0.190, 0.810], [0.943, 0.557, 0.557], [0.403, 0.403, 0.791], [0.810, 0.810, 0.190], [0.943, 0.943, 0.557], [0.810, 0.190, 0.190], [0.943, 0.557, 0.943], [0.403, 0.403, 0.403], [0.810, 0.190, 0.810], [0.791, 0.403, 0.403], [0.162, 0.613, 0.613], [0.613, 0.162, 0.613], [0.613, 0.613, 0.162], [0.613, 0.613, 0.613], [0.169, 0.492, 0.169], [0.169, 0.169, 0.492], [0.169, 0.169, 0.169], [0.492, 0.169, 0.169]]}

{"formula": "VFe4Rh", "functional": "GGA-PBE", "state": "optimized geometry", "final_energy_ev_per_cell": -50.9, "delta_e_f_ev_per_atom": -0.1029, "lattice": [[3.878, 0.000, -1.315], [0.000, 4.079, 0.000], [-0.504, 0.000, 4.888]], "species": ["Rh", "Fe", "Fe", "Fe", "Fe", "V"], "frac_coords": [[0.000, 0.000, 0.000], [0.173, 0.500, 0.345], [0.673, 0.000, 0.346], [0.827, 0.500, 0.655], [0.327, 0.000, 0.654], [0.500, 0.500, 0.000]]}